{"formula": "LaZrTc", "functional": "GGA-PBE", "state": "optimized geometry", "lattice": [[4.701, 0.000, 0.000], [-2.350, 4.071, 0.000], [0.000, 0.000, 3.462]], "species": ["La", "Zr", "Tc"], "fractional_positions": [[0.000, 0.000, 0.000], [0.667, 0.333, 0.591], [0.333, 0.667, 0.317]], "polymorph_energy_mev_per_atom": 153, "total_energy_ev_per_cell": -23.4, "e_form_ev_per_atom": 0.135, "magmom_total_mub_per_fu": 0.000}